1.
Material: TmMoN2
Method: DFT, PBE
State: relaxed

distance to the lowest polymorph of the same formula: 33.0 kJ per mole of atoms
N(E_F): 2.3 states/eV per cell

Geometry as CIF:
```
data_TmMoN2
_chemical_formula_sum 'Tm1 Mo1 N2'
_cell_length_a 3.076
_cell_length_b 3.076
_cell_length_c 5.976
_cell_angle_alpha 75.09
_cell_angle_beta 75.09
_cell_angle_gamma 60.00
_space_group_name_H-M_alt 'P 1'
_space_group_IT_number 1
_space_group_name_Hall 'P 1'
loop_
_atom_site_label
_atom_site_fract_x
_atom_site_fract_y
_atom_site_fract_z
Tm1 0.669 0.669 0.992
Mo1 0.497 0.497 0.508
N1 0.092 0.092 0.724
N2 0.241 0.241 0.276
```

2.
Material: YTmMo2N6
Method: DFT, PBE
State: relaxed

E_tot: -9.157 eV/atom
N(E_F): 0.0 states/eV per cell

Geometry as CIF:
```
data_YTmMo2N6
_chemical_formula_sum 'Y2 Tm2 Mo4 N12'
_cell_length_a 6.292
_cell_length_b 7.389
_cell_length_c 7.389
_cell_angle_alpha 80.78
_cell_angle_beta 72.53
_cell_angle_gamma 72.53
_space_group_name_H-M_alt 'P 1'
_space_group_IT_number 1
_space_group_name_Hall 'P 1'
loop_
_atom_site_label
_atom_site_fract_x
_atom_site_fract_y
_atom_site_fract_z
Y1 0.250 0.910 0.090
Y2 0.750 0.090 0.910
Tm1 0.250 0.287 0.713
Tm2 0.750 0.713 0.287
Mo1 0.286 0.798 0.621
Mo2 0.214 0.379 0.202
Mo3 0.714 0.202 0.379
Mo4 0.786 0.621 0.798
N1 0.159 0.000 0.780
N2 0.341 0.220 0.000
N3 0.841 0.000 0.220
N4 0.659 0.780 0.000
N5 0.340 0.881 0.375
N6 0.160 0.625 0.119
N7 0.660 0.119 0.625
N8 0.840 0.375 0.881
N9 0.091 0.624 0.667
N10 0.409 0.333 0.376
N11 0.909 0.376 0.333
N12 0.591 0.667 0.624
```

3.
Material: UMoN2
Method: DFT, PBE
State: relaxed

E_tot: -9.851 eV/atom
N(E_F): 5.0 states/eV per cell

Geometry as CIF:
```
data_UMoN2
_chemical_formula_sum 'U1 Mo1 N2'
_cell_length_a 2.913
_cell_length_b 4.013
_cell_length_c 4.013
_cell_angle_alpha 90.00
_cell_angle_beta 90.00
_cell_angle_gamma 90.00
_space_group_name_H-M_alt 'P 1'
_space_group_IT_number 1
_space_group_name_Hall 'P 1'
loop_
_atom_site_label
_atom_site_fract_x
_atom_site_fract_y
_atom_site_fract_z
Mo1 0.500 0.500 0.500
U1 0.500 0.000 0.000
N1 0.000 0.000 0.500
N2 0.000 0.500 0.000
```

4.
Material: U3Mo5N12
Method: DFT, PBE
State: relaxed

E_tot: -10.045 eV/atom
N(E_F): 79.1 states/eV per cell

Geometry as CIF:
```
data_U3Mo5N12
_chemical_formula_sum 'U12 Mo20 N48'
_cell_length_a 10.947
_cell_length_b 10.947
_cell_length_c 10.947
_cell_angle_alpha 109.47
_cell_angle_beta 109.47
_cell_angle_gamma 109.47
_space_group_name_H-M_alt 'P 1'
_space_group_IT_number 1
_space_group_name_Hall 'P 1'
loop_
_atom_site_label
_atom_site_fract_x
_atom_site_fract_y
_atom_site_fract_z
U1 0.750 0.375 0.125
U2 0.875 0.750 0.125
U3 0.375 0.750 0.625
U4 0.250 0.125 0.375
U5 0.875 0.125 0.250
U6 0.375 0.625 0.250
U7 0.625 0.375 0.750
U8 0.125 0.875 0.750
U9 0.750 0.875 0.625
U10 0.625 0.250 0.375
U11 0.125 0.250 0.875
U12 0.250 0.625 0.875
Mo1 0.125 0.375 0.250
Mo2 0.000 0.500 0.000
Mo3 0.000 0.000 0.000
Mo4 0.375 0.250 0.125
Mo5 0.500 0.000 0.500
Mo6 0.500 0.500 0.000
Mo7 0.125 0.750 0.375
Mo8 0.750 0.125 0.875
Mo9 0.750 0.625 0.375
Mo10 0.375 0.125 0.750
Mo11 0.625 0.875 0.250
Mo12 0.500 0.500 0.500
Mo13 0.500 0.000 0.000
Mo14 0.000 0.000 0.500
Mo15 0.250 0.375 0.625
Mo16 0.250 0.875 0.125
Mo17 0.000 0.500 0.500
Mo18 0.875 0.250 0.625
Mo19 0.625 0.750 0.875
Mo20 0.875 0.625 0.750
N1 0.711 0.127 0.032
N2 0.320 0.532 0.405
N3 0.968 0.373 0.289
N4 0.532 0.211 0.127
N5 0.585 0.711 0.680
N6 0.968 0.595 0.180
N7 0.320 0.789 0.415
N8 0.095 0.915 0.127
N9 0.595 0.968 0.680
N10 0.711 0.585 0.180
N11 0.789 0.468 0.373
N12 0.820 0.905 0.032
N13 0.127 0.711 0.532
N14 0.373 0.405 0.085
N15 0.085 0.905 0.373
N16 0.415 0.127 0.595
N17 0.085 0.180 0.211
N18 0.468 0.680 0.095
N19 0.820 0.915 0.289
N20 0.127 0.415 0.095
N21 0.373 0.968 0.789
N22 0.595 0.627 0.415
N23 0.905 0.820 0.532
N24 0.789 0.320 0.915
N25 0.405 0.373 0.585
N26 0.095 0.180 0.468
N27 0.211 0.680 0.085
N28 0.180 0.085 0.711
N29 0.627 0.032 0.211
N30 0.873 0.585 0.905
N31 0.532 0.320 0.905
N32 0.585 0.873 0.405
N33 0.915 0.820 0.789
N34 0.915 0.095 0.627
N35 0.873 0.289 0.468
N36 0.180 0.095 0.968
N37 0.627 0.595 0.915
N38 0.405 0.032 0.320
N39 0.289 0.415 0.820
N40 0.211 0.532 0.627
N41 0.905 0.085 0.873
N42 0.680 0.211 0.585
N43 0.468 0.789 0.873
N44 0.032 0.405 0.820
N45 0.415 0.289 0.320
N46 0.032 0.627 0.711
N47 0.680 0.468 0.595
N48 0.289 0.873 0.968
```

5.
Material: UMoN
Method: DFT, PBE
State: relaxed

distance to the lowest polymorph of the same formula: 38.3 kJ per mole of atoms
N(E_F): 3.3 states/eV per cell

Geometry as CIF:
```
data_UMoN
_chemical_formula_sum 'U1 Mo1 N1'
_cell_length_a 5.638
_cell_length_b 2.988
_cell_length_c 2.988
_cell_angle_alpha 120.00
_cell_angle_beta 90.00
_cell_angle_gamma 90.00
_space_group_name_H-M_alt 'P 1'
_space_group_IT_number 1
_space_group_name_Hall 'P 1'
loop_
_atom_site_label
_atom_site_fract_x
_atom_site_fract_y
_atom_site_fract_z
Mo1 0.574 0.333 0.667
U1 0.066 0.000 0.000
N1 0.359 0.667 0.333
```

6.
Material: UMoN2
Method: DFT, PBE
State: relaxed

E_tot: -10.708 eV/atom
N(E_F): 13.5 states/eV per cell

Geometry as CIF:
```
data_UMoN2
_chemical_formula_sum 'U4 Mo4 N8'
_cell_length_a 3.179
_cell_length_b 5.601
_cell_length_c 10.989
_cell_angle_alpha 90.00
_cell_angle_beta 90.00
_cell_angle_gamma 90.00
_space_group_name_H-M_alt 'P 1'
_space_group_IT_number 1
_space_group_name_Hall 'P 1'
loop_
_atom_site_label
_atom_site_fract_x
_atom_site_fract_y
_atom_site_fract_z
U1 0.750 0.075 0.145
U2 0.250 0.925 0.855
U3 0.750 0.575 0.355
U4 0.250 0.425 0.645
Mo1 0.250 0.570 0.099
Mo2 0.250 0.070 0.401
Mo3 0.750 0.430 0.901
Mo4 0.750 0.930 0.599
N1 0.750 0.260 0.497
N2 0.250 0.740 0.503
N3 0.750 0.760 0.003
N4 0.250 0.240 0.997
N5 0.750 0.168 0.754
N6 0.250 0.332 0.254
N7 0.750 0.668 0.746
N8 0.250 0.832 0.246
```

7.
Material: UMoN
Method: DFT, PBE
State: relaxed

distance to the lowest polymorph of the same formula: 82.8 kJ per mole of atoms
N(E_F): 3.5 states/eV per cell

Geometry as CIF:
```
data_UMoN
_chemical_formula_sum 'U1 Mo1 N1'
_cell_length_a 2.748
_cell_length_b 2.748
_cell_length_c 6.004
_cell_angle_alpha 103.23
_cell_angle_beta 103.23
_cell_angle_gamma 90.00
_space_group_name_H-M_alt 'P 1'
_space_group_IT_number 1
_space_group_name_Hall 'P 1'
loop_
_atom_site_label
_atom_site_fract_x
_atom_site_fract_y
_atom_site_fract_z
Mo1 0.049 0.049 0.099
U1 0.319 0.319 0.638
N1 0.632 0.632 0.263
```

8.
Material: UMoN
Method: DFT, PBE
State: relaxed

distance to the lowest polymorph of the same formula: 0.0 kJ per mole of atoms
N(E_F): 9.0 states/eV per cell

Geometry as CIF:
```
data_UMoN
_chemical_formula_sum 'U2 Mo2 N2'
_cell_length_a 3.350
_cell_length_b 3.350
_cell_length_c 8.086
_cell_angle_alpha 90.00
_cell_angle_beta 90.00
_cell_angle_gamma 90.00
_space_group_name_H-M_alt 'P 1'
_space_group_IT_number 1
_space_group_name_Hall 'P 1'
loop_
_atom_site_label
_atom_site_fract_x
_atom_site_fract_y
_atom_site_fract_z
U1 0.000 0.500 0.659
U2 0.500 0.000 0.341
N1 0.000 0.500 0.357
N2 0.500 0.000 0.643
Mo1 0.500 0.000 0.915
Mo2 0.000 0.500 0.085
```

9.
Material: UMoN3
Method: DFT, PBE
State: relaxed

E_tot: -10.142 eV/atom
N(E_F): 8.3 states/eV per cell

Geometry as CIF:
```
data_UMoN3
_chemical_formula_sum 'U2 Mo2 N6'
_cell_length_a 3.548
_cell_length_b 5.336
_cell_length_c 7.881
_cell_angle_alpha 90.00
_cell_angle_beta 103.01
_cell_angle_gamma 90.00
_space_group_name_H-M_alt 'P 1'
_space_group_IT_number 1
_space_group_name_Hall 'P 1'
loop_
_atom_site_label
_atom_site_fract_x
_atom_site_fract_y
_atom_site_fract_z
U1 0.324 0.510 0.648
U2 0.676 0.010 0.352
Mo1 0.905 0.942 0.811
Mo2 0.095 0.442 0.189
N1 0.862 0.277 0.724
N2 0.138 0.777 0.276
N3 0.564 0.315 0.128
N4 0.436 0.815 0.872
N5 0.791 0.750 0.583
N6 0.209 0.250 0.417
```

10.
Material: VMoN2
Method: DFT, PBE
State: relaxed

distance to the lowest polymorph of the same formula: 22.3 kJ per mole of atoms
N(E_F): 8.4 states/eV per cell

Geometry as CIF:
```
data_VMoN2
_chemical_formula_sum 'V2 Mo2 N4'
_cell_length_a 4.580
_cell_length_b 4.580
_cell_length_c 5.531
_cell_angle_alpha 65.54
_cell_angle_beta 65.54
_cell_angle_gamma 90.00
_space_group_name_H-M_alt 'P 1'
_space_group_IT_number 1
_space_group_name_Hall 'P 1'
loop_
_atom_site_label
_atom_site_fract_x
_atom_site_fract_y
_atom_site_fract_z
Mo1 0.000 0.000 0.000
Mo2 0.750 0.250 0.500
V1 0.500 0.500 0.000
V2 0.250 0.750 0.500
N1 0.602 0.125 0.250
N2 0.148 0.625 0.250
N3 0.375 0.398 0.750
N4 0.875 0.852 0.750
```

11.
Material: VMoN2
Method: DFT, PBE
State: relaxed

distance to the lowest polymorph of the same formula: 57.9 kJ per mole of atoms
N(E_F): 3.1 states/eV per cell

Geometry as CIF:
```
data_VMoN2
_chemical_formula_sum 'V1 Mo1 N2'
_cell_length_a 3.716
_cell_length_b 3.716
_cell_length_c 3.716
_cell_angle_alpha 60.00
_cell_angle_beta 60.00
_cell_angle_gamma 60.00
_space_group_name_H-M_alt 'P 1'
_space_group_IT_number 1
_space_group_name_Hall 'P 1'
loop_
_atom_site_label
_atom_site_fract_x
_atom_site_fract_y
_atom_site_fract_z
Mo1 0.500 0.500 0.500
V1 0.000 0.000 0.000
N1 0.250 0.250 0.250
N2 0.750 0.750 0.750
```

Question: Which formula does entry 8 have?
Answer: UMoN

Question: Which of these has the lowest N(E_F)?
Answer: YTmMo2N6

Question: Among the records above, which one has the lowest N(E_F)?
Answer: YTmMo2N6